PrDyNiPt, optimized geometry, DFT GGA-PBE; energy of formation = -0.684 eV/atom; energy above the lowest structure with this stoichiometry = 0.381 eV per formula unit; DFT total energy = -0.220 Ha/atom
1.0
4.9804 0.0000 0.0000
2.4902 4.3132 0.0000
2.4902 1.4377 4.0665
Dy Pt Ni Pr
1 1 1 1
Cartesian
0.0000 0.0000 0.0000
7.4706 4.3132 3.0499
2.4902 1.4377 1.0166
4.9804 2.8754 2.0332